{"formula": "CeErThCd", "functional": "PBE", "state": "relaxed", "lattice_angstrom": [[0.000, 3.844, 3.844], [3.844, 0.000, 3.844], [3.844, 3.844, 0.000]], "species": ["Ce", "Er", "Th", "Cd"], "frac_coords": [[0.000, 0.000, 0.000], [0.500, 0.500, 0.500], [0.250, 0.250, 0.250], [0.750, 0.750, 0.750]], "total_magnetization_mub_per_fu": 0.016, "dos_ef_per_ev_atom": 2.26, "ef_ev_per_fu": 0.39}



{"formula": "CeErTlCd", "functional": "PBE", "state": "relaxed", "lattice_angstrom": [[0.000, 3.809, 3.809], [3.809, 0.000, 3.809], [3.809, 3.809, 0.000]], "species": ["Ce", "Er", "Tl", "Cd"], "frac_coords": [[0.000, 0.000, 0.000], [0.500, 0.500, 0.500], [0.250, 0.250, 0.250], [0.750, 0.750, 0.750]], "total_magnetization_mub_per_fu": 1.462, "dos_ef_per_ev_atom": 2.60, "ef_ev_per_fu": -0.99}



{"formula": "CeYErCd", "functional": "PBE", "state": "relaxed", "lattice_angstrom": [[0.000, 3.853, 3.853], [3.853, 0.000, 3.853], [3.853, 3.853, 0.000]], "species": ["Ce", "Y", "Er", "Cd"], "frac_coords": [[0.000, 0.000, 0.000], [0.500, 0.500, 0.500], [0.750, 0.750, 0.750], [0.250, 0.250, 0.250]], "total_magnetization_mub_per_fu": 1.628, "dos_ef_per_ev_atom": 1.87, "ef_ev_per_fu": 0.02}



{"formula": "CeErZnCd", "functional": "PBE", "state": "relaxed", "lattice_angstrom": [[0.000, 3.691, 3.691], [3.691, 0.000, 3.691], [3.691, 3.691, 0.000]], "species": ["Ce", "Er", "Zn", "Cd"], "frac_coords": [[0.000, 0.000, 0.000], [0.500, 0.500, 0.500], [0.250, 0.250, 0.250], [0.750, 0.750, 0.750]], "polymorph_energy_ev_per_fu": 0.139, "total_magnetization_mub_per_fu": 1.519, "dos_ef_per_ev_atom": 2.35, "ef_ev_per_fu": -0.83}



{"formula": "CeErZnCd", "functional": "PBE", "state": "relaxed", "lattice_angstrom": [[3.536, 0.000, 0.000], [0.000, 3.536, 0.000], [0.000, 0.000, 7.899]], "species": ["Ce", "Er", "Zn", "Cd"], "frac_coords": [[0.000, 0.000, 0.000], [0.000, 0.000, 0.459], [0.500, 0.500, 0.247], [0.500, 0.500, 0.712]], "polymorph_energy_ev_per_fu": 0.000, "total_magnetization_mub_per_fu": 1.093, "dos_ef_per_ev_atom": 2.03, "ef_ev_per_fu": -0.97}



{"formula": "CeErZrCd", "functional": "PBE", "state": "relaxed", "lattice_angstrom": [[0.000, 3.733, 3.733], [3.733, 0.000, 3.733], [3.733, 3.733, 0.000]], "species": ["Ce", "Er", "Zr", "Cd"], "frac_coords": [[0.000, 0.000, 0.000], [0.500, 0.500, 0.500], [0.250, 0.250, 0.250], [0.750, 0.750, 0.750]], "total_magnetization_mub_per_fu": 0.886, "dos_ef_per_ev_atom": 1.81, "ef_ev_per_fu": 0.24}



{"formula": "CeEuCd", "functional": "PBE", "state": "relaxed", "lattice_angstrom": [[5.454, 0.000, 0.000], [-2.727, 4.723, 0.000], [0.000, 0.000, 3.114]], "species": ["Ce", "Eu", "Cd"], "frac_coords": [[0.000, 0.000, 0.000], [0.667, 0.333, 0.000], [0.333, 0.667, 0.500]], "polymorph_energy_ev_per_fu": 0.278, "total_magnetization_mub_per_fu": 6.393, "dos_ef_per_ev_atom": 1.97, "ef_ev_per_fu": 0.10}



{"formula": "Ce2EuCd", "functional": "PBE", "state": "relaxed", "lattice_angstrom": [[1.630, 0.941, 12.251], [-1.630, 0.941, 12.251], [0.000, -1.882, 12.251]], "species": ["Ce", "Ce", "Eu", "Cd"], "frac_coords": [[0.090, 0.090, 0.090], [0.910, 0.910, 0.910], [0.000, 0.000, 0.000], [0.500, 0.500, 0.500]], "polymorph_energy_ev_per_fu": 0.506, "total_magnetization_mub_per_fu": 6.264, "dos_ef_per_ev_atom": 2.36, "ef_ev_per_fu": 0.66}